## Er3NpPd12 (GGA-PBE)

Data for Er3NpPd12 after structural relaxation.

Values from the calculation:
Fermi-level density of states, states/eV/cell: 18.0
Electronic total energy, eV/atom: -6.3583
Space-group type: P4/mmm (123)

Unit cell a=4.118 b=4.118 c=16.447 alpha=90.00 beta=90.00 gamma=90.00
Sites, in units of the cell vectors:
Er 0.000 0.000 0.000
Er 0.000 0.000 0.247
Er 0.000 0.000 0.753
Np 0.000 0.000 0.500
Pd 0.000 0.500 0.125
Pd 0.000 0.500 0.377
Pd 0.000 0.500 0.623
Pd 0.000 0.500 0.875
Pd 0.500 0.000 0.125
Pd 0.500 0.000 0.377
Pd 0.500 0.000 0.623
Pd 0.500 0.000 0.875
Pd 0.500 0.500 0.000
Pd 0.500 0.500 0.250
Pd 0.500 0.500 0.500
Pd 0.500 0.500 0.750